No. 1
Density functional theory data (PBE) for a geometry-optimized Al2CuAs structure.

Values from the calculation:
ΔE_f = 8.30 kJ per mole of atoms
total energy = -0.14596 Ha/atom

Cell: 8.795 8.795 8.795 Å, 19.17 19.17 19.17°
Element x y z (fractional)
As 0.497 0.497 0.497
Al 0.251 0.251 0.251
Al 0.005 0.005 0.005
Cu 0.747 0.747 0.747

=====

No. 2
Density functional theory data (PBE) for a geometry-optimized CaAlAg2 structure.

Values from the calculation:
ΔE_f = -14.46 kJ per mole of atoms
total energy = -0.11067 Ha/atom

Cell: 5.036 5.036 5.166 Å, 71.64 71.64 46.01°
Element x y z (fractional)
Ca 0.245 0.245 0.248
Ag 0.018 0.018 0.928
Ag 0.761 0.761 0.717
Al 0.476 0.476 0.606

=====

No. 3
Density functional theory data (PBE) for a geometry-optimized TbNd2Ho3 structure.

Values from the calculation:
ΔE_f = 9.33 kJ per mole of atoms
ΔE to the lowest computed polymorph = 0 meV per atom
total energy = -0.16733 Ha/atom

Cell: 3.519 11.060 11.834 Å, 61.45 81.45 80.85°
Element x y z (fractional)
Ho 0.616 0.773 0.994
Ho 0.039 0.093 0.830
Ho 0.384 0.227 0.006
Ho 0.961 0.907 0.170
Ho 0.884 0.727 0.506
Ho 0.116 0.273 0.494
Nd 0.799 0.553 0.850
Nd 0.299 0.053 0.349
Nd 0.701 0.947 0.651
Nd 0.201 0.447 0.150
Tb 0.539 0.594 0.329
Tb 0.461 0.406 0.671

=====

No. 4
Density functional theory data (PBE) for a geometry-optimized Sr2ZnAg2 structure.

Values from the calculation:
ΔE_f = -10.83 kJ per mole of atoms
ΔE to the lowest computed polymorph = 179 meV per atom
total energy = -0.08012 Ha/atom

Cell: 6.197 6.197 5.927 Å, 58.48 58.48 90.00°
Element x y z (fractional)
Sr 0.250 0.750 0.500
Sr 0.750 0.250 0.500
Ag 0.332 0.332 0.336
Ag 0.668 0.668 0.664
Zn 0.000 0.000 0.000

=====

No. 5
Density functional theory data (PBE) for a geometry-optimized PuNbRu2 structure.

Values from the calculation:
ΔE_f = -16.92 kJ per mole of atoms
total energy = -0.40107 Ha/atom

Cell: 3.154 3.154 7.155 Å, 90.00 90.00 90.00°
Element x y z (fractional)
Pu 0.500 0.500 0.500
Nb 0.500 0.500 0.000
Ru 0.000 0.000 0.216
Ru 0.000 0.000 0.784

=====

No. 6
Density functional theory data (PBE) for a geometry-optimized CrAs2Ir structure.

Values from the calculation:
ΔE_f = 9.42 kJ per mole of atoms
ΔE to the lowest computed polymorph = 139 meV per atom
total energy = -0.25167 Ha/atom

Cell: 4.497 4.497 2.983 Å, 90.00 90.00 90.00°
Element x y z (fractional)
As 0.000 0.000 0.000
As 0.500 0.500 0.000
Ir 0.000 0.500 0.500
Cr 0.500 0.000 0.500

=====

No. 7
Density functional theory data (PBE) for a geometry-optimized SmLuScAg structure.

Values from the calculation:
ΔE_f = 3.64 kJ per mole of atoms
total energy = -0.16787 Ha/atom

Cell: 5.267 5.267 5.267 Å, 60.00 60.00 60.00°
Element x y z (fractional)
Sc 0.250 0.250 0.250
Sm 0.500 0.500 0.500
Lu 0.000 0.000 0.000
Ag 0.750 0.750 0.750

=====

No. 8
Density functional theory data (PBE) for a geometry-optimized YIrCl structure.

Values from the calculation:
E_form (uncorrected) = -0.223 eV per atom
ΔE to the lowest computed polymorph = 1159 meV per atom
total energy = -0.21854 Ha/atom

Cell: 4.608 4.608 4.608 Å, 60.00 60.00 60.00°
Element x y z (fractional)
Y 0.000 0.000 0.000
Cl 0.500 0.500 0.500
Ir 0.750 0.750 0.750

=====

No. 9
Density functional theory data (PBE) for a geometry-optimized KZrSc2 structure.

Values from the calculation:
ΔE_f = 75.80 kJ per mole of atoms
ΔE to the lowest computed polymorph = 490 meV per atom
total energy = -0.17609 Ha/atom

Cell: 3.300 5.939 5.658 Å, 90.00 90.00 90.00°
Element x y z (fractional)
K 0.000 0.500 0.500
Sc 0.500 0.500 0.000
Sc 0.000 0.000 0.000
Zr 0.500 0.000 0.500

=====

No. 10
Density functional theory data (PBE) for a geometry-optimized Tb8Sm3Er structure.

Values from the calculation:
ΔE_f = 60.24 kJ per mole of atoms
total energy = -0.14783 Ha/atom

Cell: 8.383 8.383 8.383 Å, 94.73 117.31 117.31°
Element x y z (fractional)
Tb 0.000 0.878 0.627
Tb 0.000 0.759 0.253
Tb 0.494 0.241 0.241
Tb 0.000 0.627 0.878
Tb 0.251 0.373 0.373
Tb 0.000 0.253 0.759
Tb 0.506 0.747 0.747
Tb 0.749 0.122 0.122
Sm 0.000 0.500 0.500
Sm 0.500 0.750 0.250
Sm 0.500 0.250 0.750
Er 0.000 0.000 0.000

=====

No. 11
Density functional theory data (PBE) for a geometry-optimized Ba2AgBi3Pd4 structure.

Values from the calculation:
ΔE_f = -54.24 kJ per mole of atoms
total energy = -0.16439 Ha/atom

Cell: 4.889 4.889 10.947 Å, 90.00 90.00 90.00°
Element x y z (fractional)
Ba 0.500 0.000 0.251
Ba 0.000 0.500 0.749
Bi 0.500 0.000 0.876
Bi 0.000 0.000 0.500
Bi 0.000 0.500 0.124
Pd 0.500 0.500 0.000
Pd 0.000 0.500 0.377
Pd 0.000 0.000 0.000
Pd 0.500 0.000 0.623
Ag 0.500 0.500 0.500

=====

No. 12
Density functional theory data (PBE) for a geometry-optimized Rb2PmBiTe4 structure.

Values from the calculation:
E_form (uncorrected) = -1.006 eV per atom
total energy = -0.14325 Ha/atom

Cell: 4.610 8.070 8.968 Å, 107.09 90.00 90.00°
Element x y z (fractional)
Rb 0.000 0.500 0.500
Rb 0.500 0.000 0.500
Te 0.500 0.766 0.797
Te 0.500 0.234 0.203
Te 0.000 0.735 0.203
Te 0.000 0.265 0.797
Pm 0.500 0.500 0.000
Bi 0.000 0.000 0.000

=====

- Which of these has the lowest total energy?
  PuNbRu2